Computed, not measured: a relaxed Dy4TmSb2 crystal at the PBE level of DFT.

## Properties
Crystal system: trigonal
Space group: R-3m
Uncorrected formation energy, meV/atom: -414
Raw total energy, eV/cell: -34.02

abc: 9.3249 9.3249 9.3249
angles: 33.58 33.58 33.58
Closest atoms and distances in Å follow each position.
Atoms (fractional coordinates):
Dy 0.1306 0.1306 0.1306  3 Tm 3.25, 3 Dy 3.59
Dy 0.2710 0.2710 0.2710  4 Sb 3.06-3.12
Dy 0.7290 0.7290 0.7290  4 Sb 3.06-3.12
Dy 0.8694 0.8694 0.8694  3 Tm 3.25, 3 Dy 3.59
Tm 0.5000 0.5000 0.5000  2 Sb 2.98, 6 Dy 3.25
Sb 0.3869 0.3869 0.3869  1 Tm 2.98, 4 Dy 3.06-3.12
Sb 0.6131 0.6131 0.6131  1 Tm 2.98, 4 Dy 3.06-3.12